LaNiSe | GGA-PBE | relaxed

Cell and atoms, written as POSCAR:
```
LaNiSe
1.0
0.000 3.197 3.197
3.197 0.000 3.197
3.197 3.197 0.000
La Ni Se
1 1 1
Cartesian
0.000 0.000 0.000
1.599 1.599 1.599
3.197 3.197 3.197
```

Properties
Space group ... F-43m
Uncorrected formation energy ... -0.85 eV/atom

---

BeFe | GGA-PBE | relaxed

Cell and atoms, written as POSCAR:
```
BeFe
1.0
4.243 0.000 0.000
0.000 4.243 0.000
0.000 0.000 4.243
Be Fe
4 4
Cartesian
0.416 1.705 2.538
1.705 2.538 0.416
2.538 0.416 1.705
3.827 3.827 3.827
0.429 3.814 1.693
1.693 0.429 3.814
2.550 2.550 2.550
3.814 1.693 0.429
```

Properties
Space group ... P2_13
Electronic total energy ... -6.0956 eV/atom

---

ErHSe | GGA-PBE | relaxed

Cell and atoms, written as POSCAR:
```
ErHSe
1.0
3.799 0.000 0.000
-1.899 3.290 0.000
0.000 0.000 3.875
Er H Se
1 1 1
Cartesian
0.000 0.000 0.000
1.899 1.097 0.000
0.000 2.193 1.937
```

Properties
Space group ... P-6m2
Electronic total energy ... -5.2388 eV/atom

---

CePr3Zn8 | GGA-PBE | relaxed

Cell and atoms, written as POSCAR:
```
CePr3Zn8
1.0
2.791 1.611 9.110
-2.791 1.611 9.110
0.000 -3.223 9.110
Ce Pr Zn
1 3 8
Cartesian
0.000 0.000 0.000
0.000 0.000 3.380
0.000 0.000 13.663
0.000 0.000 17.118
-1.397 -0.806 10.808
0.000 -1.609 6.278
-1.393 0.804 6.278
0.000 0.000 8.538
1.397 -0.806 10.808
0.000 1.613 10.808
1.393 0.804 6.278
0.000 0.000 22.203
```

Properties
Space group ... R3m
Electronic total energy ... -2.8395 eV/atom

---

HoSi2Pt4 | GGA-PBE | relaxed

Cell and atoms, written as POSCAR:
```
HoSi2Pt4
1.0
2.056 -6.910 0.000
2.056 6.910 0.000
0.000 0.000 4.121
Ho Si Pt
1 2 4
Cartesian
0.000 0.000 0.000
2.056 1.168 2.060
2.056 -1.168 2.060
2.056 4.514 2.060
2.056 2.352 0.000
2.056 -2.352 0.000
2.056 -4.514 2.060
```

Properties
Space group ... Cmmm
Uncorrected formation energy ... -0.87 eV/atom

---

Cs3SmO3 | GGA-PBE | relaxed

Cell and atoms, written as POSCAR:
```
Cs3SmO3
1.0
8.269 0.000 0.000
0.000 7.753 0.000
-1.058 0.000 12.532
Cs Sm O
12 4 12
Cartesian
0.368 0.999 2.025
-0.161 2.878 8.291
1.873 1.167 11.572
2.402 2.709 5.305
2.341 5.234 10.132
2.870 6.395 3.865
4.341 1.357 8.667
4.870 2.519 2.401
4.809 5.044 7.227
5.338 6.585 0.961
7.372 4.875 4.241
6.843 6.754 10.508
1.210 4.610 0.914
0.681 7.019 7.181
6.530 0.734 5.352
6.001 3.143 11.618
0.521 0.397 5.210
-0.008 3.479 11.476
1.446 4.969 7.019
1.975 6.659 0.753
1.670 0.331 8.807
2.199 3.545 2.540
5.012 4.207 9.992
5.541 7.422 3.726
5.236 1.093 11.780
5.765 2.783 5.514
7.219 4.273 1.057
6.690 7.356 7.323
```

Properties
Space group ... P2_1/c
Uncorrected formation energy ... -1.87 eV/atom

---

Th2Co3C | GGA-PBE | relaxed

Cell and atoms, written as POSCAR:
```
Th2Co3C
1.0
0.000 3.960 6.741
3.709 0.000 6.741
3.709 3.960 0.000
Th Co C
4 6 2
Cartesian
3.709 1.805 6.741
1.855 1.980 3.370
5.564 5.939 10.111
3.709 6.114 6.741
3.709 3.960 2.226
5.025 3.960 5.437
5.025 3.960 8.045
2.393 3.960 5.437
2.393 3.960 8.045
3.709 3.960 11.255
3.709 3.960 4.093
3.709 3.960 9.388
```

Properties
Space group ... Fmmm
Electronic total energy ... -7.7969 eV/atom

---

Pm3Cd11 | GGA-PBE | relaxed

Cell and atoms, written as POSCAR:
```
Pm3Cd11
1.0
-2.463 4.952 7.054
2.463 -4.952 7.054
2.463 4.952 -7.054
Pm Cd
3 11
Cartesian
0.000 0.000 0.000
0.000 0.000 4.071
0.000 0.000 10.037
2.463 -1.371 2.153
2.463 -2.142 5.033
2.463 1.371 2.153
2.463 3.282 0.000
0.000 2.809 2.021
0.000 4.952 0.000
2.463 2.142 5.033
0.000 1.670 7.054
0.000 3.580 4.900
0.000 7.094 2.021
0.000 6.323 4.900
```

Properties
Space group ... Immm
Electronic total energy ... -1.9900 eV/atom

---

For each record above, in turn, the calculated density values are 7.02; 5.64; 8.48; 7.34; 14.20; 4.94; 10.95; 8.07 g cm⁻³.